# Sr3LaSe

An optimized crystal structure of Sr3LaSe (GGA-PBE, the Alexandria database).

a = 6.0549 Å, b = 6.0549 Å, c = 6.0549 Å
α = 90.00°, β = 90.00°, γ = 90.00°
Last column: nearest neighbours and their distance in Å.
Fractional coordinates of all 5 atoms:
La: 0.5000 0.5000 0.5000  12 Sr 4.28
Se: 0.0000 0.0000 0.0000  6 Sr 3.03
Sr: 0.0000 0.5000 0.0000  2 Se 3.03
Sr: 0.0000 0.0000 0.5000  2 Se 3.03
Sr: 0.5000 0.0000 0.0000  2 Se 3.03

## Properties
As for the formation energy from raw total energies: -0.485 eV per atom.



# Sr2LaSe

An optimized crystal structure of Sr2LaSe (GGA-PBE, the Alexandria database).

a = 10.6401 Å, b = 10.6401 Å, c = 8.0936 Å
α = 48.90°, β = 48.90°, γ = 90.00°
Last column: nearest neighbours and their distance in Å.
Fractional coordinates of all 8 atoms:
Se: 0.2500 0.7500 0.5000  2 La 2.98, 4 Sr 3.10
Sr: 0.5081 0.1250 0.2500  2 Se 3.10
La: 0.0000 0.0000 0.0000  2 Se 2.98
Sr: 0.2419 0.6250 0.2500  2 Se 3.10
Sr: 0.3750 0.4919 0.7500  2 Se 3.10
Se: 0.5000 0.5000 0.0000  2 La 2.98, 4 Sr 3.10
La: 0.7500 0.2500 0.5000  2 Se 2.98
Sr: 0.8750 0.7581 0.7500  2 Se 3.10

## Properties
As for the formation energy from raw total energies: -0.601 eV per atom.



# Sr2LaSe

An optimized crystal structure of Sr2LaSe (GGA-PBE, the Alexandria database).

a = 7.0526 Å, b = 7.0526 Å, c = 7.0526 Å
α = 139.63°, β = 139.63°, γ = 58.42°
Last column: nearest neighbours and their distance in Å.
Fractional coordinates of all 4 atoms:
La: 0.5000 0.5000 0.0000  4 Sr 3.44
Se: 0.7500 0.2500 0.5000  4 Sr 3.44
Sr: 0.0000 0.0000 0.0000  4 La 3.44
Sr: 0.2500 0.7500 0.5000  4 Se 3.44

## Properties
As for the formation energy from raw total energies: -0.362 eV per atom.



# Sr2LaSe

An optimized crystal structure of Sr2LaSe (GGA-PBE, the Alexandria database).

a = 9.8386 Å, b = 9.8386 Å, c = 4.3567 Å
α = 77.20°, β = 77.20°, γ = 23.94°
Last column: nearest neighbours and their distance in Å.
Fractional coordinates of all 4 atoms:
Sr: 0.9188 0.9188 0.0813  2 Se 3.77, 2 La 3.84, 2 Sr 4.08
Se: 0.2500 0.2500 0.2500  4 La 2.98
Sr: 0.5812 0.5812 0.4187  2 Se 3.77, 2 La 3.84, 2 Sr 4.08
La: 0.7500 0.7500 0.7500  4 Se 2.98

## Properties
As for the formation energy from raw total energies: -0.762 eV per atom.



# Sr2LaSe

An optimized crystal structure of Sr2LaSe (GGA-PBE, the Alexandria database).

a = 7.0785 Å, b = 7.0785 Å, c = 7.0785 Å
α = 140.48°, β = 140.48°, γ = 57.12°
Last column: nearest neighbours and their distance in Å.
Fractional coordinates of all 4 atoms:
La: 0.2500 0.7500 0.5000  4 Se 3.38
Sr: 0.5000 0.5000 0.0000  4 Sr 3.38
Se: 0.7500 0.2500 0.5000  4 La 3.38
Sr: 0.0000 0.0000 0.0000  4 Sr 3.38

## Properties
As for the formation energy from raw total energies: -0.393 eV per atom.



# Sr2LaSe

An optimized crystal structure of Sr2LaSe (GGA-PBE, the Alexandria database).

a = 4.2151 Å, b = 5.8681 Å, c = 5.6052 Å
α = 90.00°, β = 90.00°, γ = 90.00°
Last column: nearest neighbours and their distance in Å.
Fractional coordinates of all 4 atoms:
La: 0.5000 0.0000 0.5000  4 Sr 3.51, 4 Se 3.61
Sr: 0.5000 0.5000 0.0000  4 Se 3.51, 4 Sr 3.61
Se: 0.0000 0.5000 0.5000  4 Sr 3.51, 4 La 3.61
Sr: 0.0000 0.0000 0.0000  4 La 3.51, 4 Sr 3.61

## Properties
As for the formation energy from raw total energies: -0.372 eV per atom.